Record 1
LiRhCl | the Alexandria database | PBEsol | optimized geometry; DOS at the Fermi energy = 0.729 states/eV/atom; size of the total moment = 0.0001 μB per atom; E_tot = -4.2358 eV per atom
1.0
3.082 0.000 0.000
0.000 4.045 0.000
0.000 -2.022 3.503
Rh Cl Li
1 1 1
direct
0.167 0.333 0.667
0.166 0.000 0.000
0.667 0.667 0.333



Record 2
LiRhCl | the Alexandria database | PBEsol | optimized geometry; DOS at the Fermi energy = 0.968 states/eV/atom; size of the total moment = 0.0008 μB per atom; E_tot = -4.0934 eV per atom
1.0
-0.431 2.899 0.518
-1.283 -1.992 1.800
5.533 -0.370 2.265
Cl Li Rh
1 1 1
direct
0.996 0.996 0.992
0.345 0.345 0.689
0.659 0.659 0.318



Record 3
LiRhCl | the Alexandria database | PBEsol | optimized geometry; DOS at the Fermi energy = 1.162 states/eV/atom; size of the total moment = 0.0001 μB per atom; E_tot = -3.9274 eV per atom
1.0
-3.023 -2.664 -0.253
0.723 -3.933 0.557
-1.346 -1.848 3.327
Li Rh Cl
1 1 1
direct
0.500 0.500 0.500
0.750 0.750 0.750
0.000 0.000 0.000



Record 4
Li2RuCl | the Alexandria database | PBEsol | optimized geometry; DOS at the Fermi energy = 0.549 states/eV/atom; size of the total moment = 0.2583 μB per atom; E_tot = -3.9382 eV per atom
1.0
-2.154 -2.471 3.410
2.859 -0.798 4.509
-2.858 2.878 3.562
Ru Li Cl
2 4 2
direct
0.000 0.000 0.000
0.750 0.500 0.500
0.875 0.545 0.955
0.170 0.955 0.455
0.580 0.045 0.545
0.375 0.455 0.045
0.500 0.000 0.000
0.250 0.500 0.500



Record 5
LiRuCl | the Alexandria database | PBEsol | optimized geometry; DOS at the Fermi energy = 0.512 states/eV/atom; size of the total moment = 0.0001 μB per atom; E_tot = -4.5366 eV per atom
1.0
2.923 -0.208 0.000
-1.351 2.601 0.000
-0.786 -1.196 6.005
Ru Li Cl
1 1 1
direct
0.658 0.658 0.315
0.343 0.343 0.685
0.000 0.000 0.000



Record 6
LiRuSCl2 | the Alexandria database | PBEsol | optimized geometry; DOS at the Fermi energy = 0.525 states/eV/atom; size of the total moment = 0.0000 μB per atom; E_tot = -4.5667 eV per atom
1.0
4.334 0.000 0.000
0.000 4.937 0.000
0.000 0.000 4.937
Li Cl S Ru
1 2 1 1
direct
0.500 0.500 0.500
0.000 0.500 0.000
0.000 0.000 0.500
0.500 0.000 0.000
0.000 0.000 0.000



Record 7
LiSnSCl2 | the Alexandria database | PBEsol | optimized geometry; DOS at the Fermi energy = 0.608 states/eV/atom; size of the total moment = 0.1860 μB per atom; E_tot = -3.5318 eV per atom
1.0
4.516 0.000 0.000
0.000 4.516 0.000
0.000 0.000 4.843
Cl S Li Sn
2 1 1 1
direct
0.000 0.500 0.000
0.500 0.000 0.000
0.000 0.000 0.500
0.000 0.000 0.000
0.500 0.500 0.500



Record 8
SrLiSCl2 | the Alexandria database | PBEsol | optimized geometry; DOS at the Fermi energy = 0.584 states/eV/atom; size of the total moment = 0.1987 μB per atom; E_tot = -3.9416 eV per atom
1.0
4.640 0.000 0.000
0.000 4.640 0.000
0.000 0.000 4.819
S Sr Li Cl
1 1 1 2
direct
0.000 0.000 0.500
0.500 0.500 0.500
0.000 0.000 0.000
0.500 0.000 0.000
0.000 0.500 0.000



Record 9
LiYSCl2 | the Alexandria database | PBEsol | optimized geometry; size of the total moment = 0.0000 μB per atom; E_tot = -4.9232 eV per atom
1.0
4.319 0.000 0.000
0.000 4.319 0.000
0.000 0.000 4.955
Y Cl S Li
1 2 1 1
direct
0.500 0.500 0.500
0.500 0.000 0.000
0.000 0.500 0.000
0.000 0.000 0.500
0.000 0.000 0.000



Record 10
Li2SbCl | the Alexandria database | PBEsol | optimized geometry; DOS at the Fermi energy = 0.451 states/eV/atom; size of the total moment = 0.0001 μB per atom; E_tot = -3.3399 eV per atom
1.0
3.173 0.123 0.152
-0.184 5.011 0.049
-0.184 -1.014 4.907
Li Cl Sb
2 1 1
direct
0.000 0.500 0.000
0.000 0.000 0.500
0.500 0.000 0.000
0.500 0.500 0.500



Record 11
LiSb3Cl | the Alexandria database | PBEsol | optimized geometry; DOS at the Fermi energy = 0.997 states/eV/atom; size of the total moment = 0.0000 μB per atom; E_tot = -3.0169 eV per atom
1.0
5.319 0.000 0.000
0.000 5.319 0.000
0.000 0.000 5.319
Sb Li Cl
3 1 1
direct
0.000 0.500 0.000
0.000 0.000 0.500
0.500 0.000 0.000
0.500 0.500 0.500
0.000 0.000 0.000



Record 12
Li2SbCl | the Alexandria database | PBEsol | optimized geometry; DOS at the Fermi energy = 0.133 states/eV/atom; size of the total moment = 0.0000 μB per atom; E_tot = -3.7030 eV per atom
1.0
-2.822 -0.680 -1.712
-0.128 -2.677 -2.042
-3.422 -5.354 4.452
Li Cl Sb
2 1 1
direct
0.268 0.268 0.197
0.732 0.732 0.803
0.000 0.000 0.000
0.500 0.500 0.500



Record 13
Li2SbCl | the Alexandria database | PBEsol | optimized geometry; DOS at the Fermi energy = 0.139 states/eV/atom; size of the total moment = 0.0000 μB per atom; E_tot = -3.6986 eV per atom
1.0
-2.405 -0.811 -2.204
0.407 -1.827 2.792
-4.851 4.485 3.643
Cl Li Sb
1 2 1
direct
0.210 0.419 0.000
0.876 0.752 0.198
0.876 0.752 0.802
0.543 0.085 0.500



Record 14
LiScCl2 | the Alexandria database | PBEsol | optimized geometry; DOS at the Fermi energy = 1.209 states/eV/atom; size of the total moment = 0.4845 μB per atom; E_tot = -3.6239 eV per atom
1.0
-3.545 0.393 -3.235
-0.807 -3.567 -3.132
-3.951 -2.721 0.415
Cl Sc Li
2 1 1
direct
0.750 0.750 0.750
0.000 0.000 0.000
0.250 0.250 0.250
0.500 0.500 0.500



Record 15
LiSc2Cl | the Alexandria database | PBEsol | optimized geometry; DOS at the Fermi energy = 0.839 states/eV/atom; size of the total moment = 0.0002 μB per atom; E_tot = -4.5560 eV per atom
1.0
3.074 0.000 0.000
0.000 4.938 0.437
0.000 -1.060 4.843
Sc Li Cl
2 1 1
direct
0.000 0.000 0.500
0.000 0.500 0.000
0.500 0.500 0.500
0.500 0.000 0.000



Record 16
Li3ScCl6 | the Alexandria database | PBEsol | optimized geometry; DOS at the Fermi energy = 0.000 states/eV/atom; size of the total moment = 0.0000 μB per atom; E_tot = -4.3983 eV per atom
1.0
-3.906 4.840 0.766
-1.813 -5.763 1.666
10.629 3.874 20.919
Cl Li Sc
24 12 4
direct
0.271 0.853 0.683
0.720 0.656 0.064
0.201 0.440 0.434
0.088 0.007 0.184
0.811 0.049 0.316
0.456 0.696 0.185
0.834 0.759 0.436
0.649 0.233 0.817
0.522 0.104 0.433
0.560 0.799 0.566
0.584 0.509 0.686
0.147 0.729 0.317
0.491 0.416 0.314
0.241 0.166 0.564
0.688 0.935 0.932
0.032 0.600 0.934
0.344 0.280 0.936
0.767 0.351 0.183
0.065 0.312 0.068
0.896 0.478 0.567
0.400 0.968 0.066
0.304 0.544 0.815
0.993 0.912 0.816
0.951 0.189 0.684
0.918 0.831 0.625
0.375 0.625 0.000
0.337 0.918 0.875
0.541 0.459 0.500
0.082 0.663 0.125
0.290 0.209 0.750
0.169 0.082 0.375
0.832 0.418 0.375
0.791 0.710 0.250
0.418 0.335 0.125
0.582 0.168 0.625
0.665 0.582 0.875
0.752 0.004 0.125
0.248 0.502 0.625
0.996 0.248 0.875
0.498 0.752 0.375



Record 17
LiScCl3 | the Alexandria database | PBEsol | optimized geometry; DOS at the Fermi energy = 0.518 states/eV/atom; size of the total moment = 0.0002 μB per atom; E_tot = -4.4882 eV per atom
1.0
-1.082 0.843 -4.774
-3.128 -3.858 0.028
-3.703 3.012 1.372
Li Cl Sc
1 3 1
direct
0.500 0.500 0.500
0.500 0.000 0.000
0.000 0.500 0.000
0.000 0.000 0.500
0.000 0.000 0.000



Record 18
LiScCl2 | the Alexandria database | PBEsol | optimized geometry; DOS at the Fermi energy = 0.290 states/eV/atom; size of the total moment = 0.0000 μB per atom; E_tot = -4.4080 eV per atom
1.0
-2.387 -1.402 1.658
-0.408 -2.130 -2.389
4.171 -3.868 2.736
Cl Sc Li
2 1 1
direct
0.000 0.000 0.735
0.000 0.000 0.265
0.500 0.500 0.500
0.500 0.500 0.000



Record 19
LiScTc2Cl | the Alexandria database | PBEsol | optimized geometry; DOS at the Fermi energy = 0.829 states/eV/atom; size of the total moment = 0.8731 μB per atom; E_tot = -5.0423 eV per atom
1.0
4.593 0.000 0.000
0.000 4.593 0.000
0.000 0.000 5.825
Tc Cl Li Sc
2 1 1 1
direct
0.500 0.000 0.000
0.000 0.500 0.000
0.500 0.500 0.500
0.000 0.000 0.500
0.000 0.000 0.000



Record 20
LiScTl2Cl6 | the Alexandria database | PBEsol | optimized geometry; DOS at the Fermi energy = 0.000 states/eV/atom; size of the total moment = 0.0000 μB per atom; E_tot = -4.1911 eV per atom
1.0
-4.484 5.368 -0.123
-6.060 -0.582 -3.446
-6.017 -0.387 3.547
Cl Tl Li Sc
6 2 1 1
direct
0.752 0.248 0.752
0.248 0.752 0.752
0.752 0.752 0.248
0.752 0.248 0.248
0.248 0.248 0.752
0.248 0.752 0.248
0.250 0.250 0.250
0.750 0.750 0.750
0.500 0.500 0.500
0.000 0.000 0.000



no.,ΔE_f (raw) (eV per formula unit)
1,-0.59
2,-0.17
3,0.33
4,0.36
5,0.54
6,-2.29
7,-3.03
8,-7.50
9,-7.43
10,-2.86
11,2.56
12,-4.31
13,-4.30
14,-1.91
15,-1.04
16,-19.43
17,-7.85
18,-5.04
19,7.90
20,-16.03